BaMgMo4O8 after structural relaxation, computed with GGA+U.

The structure in POSCAR format:
```
BaMgMo4O8
1.0
5.724 0.000 0.000
-2.862 4.957 0.000
0.000 0.000 7.292
Ba Mg Mo O
1 1 4 8
Cartesian
0.000 0.000 0.000
0.000 0.000 3.646
0.000 3.305 2.056
0.000 3.305 5.237
2.862 1.652 2.056
2.862 1.652 5.237
-0.838 1.452 2.347
-2.024 3.505 4.946
1.676 0.000 2.347
0.838 1.452 4.946
0.000 3.305 0.000
2.862 1.652 0.000
4.047 0.000 4.946
2.024 3.505 2.347
```

## Properties
**Spin magnetization**: 12.0 Bohr magnetons per cell
**Energy**: -92.3 eV per cell
**Crystal system**: trigonal